(1)
## Tb3Ge2Rh6 (GGA-PBE)

Data for a relaxed Tb3Ge2Rh6 crystal.

a b c (Å): 8.0561 8.0561 8.0561
angles (deg): 109.47 109.47 109.47
Last column: nearest neighbours and their distance in Å.
Positions (direct):
Rh (0.6557, 0.3115, 0.6557)  2 Ge 2.64, 6 Rh 2.70-2.90, 2 Tb 2.85
Rh (0.3443, 0.3443, 0.6885)  2 Ge 2.64, 6 Rh 2.70-2.90, 2 Tb 2.85
Ge (0.0000, 0.5000, 0.0000)  6 Rh 2.64
Rh (0.3443, 0.0000, 0.6557)  2 Ge 2.64, 6 Rh 2.70-2.90, 2 Tb 2.85
Tb (0.2865, 0.0000, 0.2865)  4 Rh 2.85
Tb (0.0000, 0.7135, 0.7135)  4 Rh 2.85
Rh (0.3443, 0.6885, 0.3443)  2 Ge 2.64, 6 Rh 2.70-2.90, 2 Tb 2.85
Rh (0.6557, 0.0000, 0.3443)  2 Ge 2.64, 6 Rh 2.70-2.90, 2 Tb 2.85
Ge (0.5000, 0.0000, 0.0000)  6 Rh 2.64
Ge (0.5000, 0.5000, 0.5000)  6 Rh 2.64
Rh (0.3443, 0.6557, 0.0000)  2 Ge 2.64, 6 Rh 2.70-2.90, 2 Tb 2.85
Tb (0.7135, 0.0000, 0.7135)  4 Rh 2.85
Rh (0.3115, 0.6557, 0.6557)  2 Ge 2.64, 6 Rh 2.70-2.90, 2 Tb 2.85
Rh (0.0000, 0.6557, 0.3443)  2 Ge 2.64, 6 Rh 2.70-2.90, 2 Tb 2.85
Tb (0.0000, 0.2865, 0.2865)  4 Rh 2.85
Tb (0.2865, 0.2865, 0.0000)  4 Rh 2.85
Rh (0.6885, 0.3443, 0.3443)  2 Ge 2.64, 6 Rh 2.70-2.90, 2 Tb 2.85
Rh (0.0000, 0.3443, 0.6557)  2 Ge 2.64, 6 Rh 2.70-2.90, 2 Tb 2.85
Ge (0.0000, 0.0000, 0.5000)  6 Rh 2.64
Rh (0.6557, 0.6557, 0.3115)  2 Ge 2.64, 6 Rh 2.70-2.90, 2 Tb 2.85
Rh (0.6557, 0.3443, 0.0000)  2 Ge 2.64, 6 Rh 2.70-2.90, 2 Tb 2.85
Tb (0.7135, 0.7135, 0.0000)  4 Rh 2.85

## Properties
E_form: -0.7207 eV per atom
Size of the total moment: 0.00 Bohr magnetons per cell
DOS(E_F): 16.69 states/eV/cell
Electronic total energy: -6.833 eV/atom

=====

(2)
## Tb2GeRh (GGA-PBE)

Data for a relaxed Tb2GeRh crystal.

a b c (Å): 4.2008 5.8043 8.0249
angles (deg): 112.14 90.00 90.00
Last column: nearest neighbours and their distance in Å.
Positions (direct):
Rh (0.2500, 0.3554, 0.7113)  2 Ge 2.69, 4 Tb 2.91
Ge (0.2500, 0.3313, 0.2033)  2 Rh 2.69, 1 Tb 3.01
Tb (0.7500, 0.2261, 0.9124)  3 Rh 2.91-3.08, 4 Ge 3.01-3.04
Tb (0.2500, 0.7835, 0.5603)  4 Rh 2.91-3.15, 3 Ge 3.07
Ge (0.7500, 0.6687, 0.7967)  2 Rh 2.69, 1 Tb 3.01
Tb (0.2500, 0.7739, 0.0876)  3 Rh 2.91-3.08, 4 Ge 3.01-3.04
Tb (0.7500, 0.2165, 0.4397)  4 Rh 2.91-3.15, 3 Ge 3.07
Rh (0.7500, 0.6446, 0.2887)  2 Ge 2.69, 4 Tb 2.91

## Properties
E_form: -0.8565 eV per atom
Size of the total moment: 0.00 Bohr magnetons per cell
DOS(E_F): 5.57 states/eV/cell
Electronic total energy: -6.164 eV/atom

=====

(3)
## TbGe3Rh3 (GGA-PBE)

Data for a relaxed TbGe3Rh3 crystal.

a b c (Å): 4.3391 8.6784 8.6784
angles (deg): 120.00 90.00 90.00
Last column: nearest neighbours and their distance in Å.
Positions (direct):
Rh (0.7500, 0.6285, 0.5738)  4 Ge 2.43-2.51
Tb (0.2500, 0.6667, 0.3333)  9 Rh 3.05-3.14, 3 Ge 3.37
Ge (0.7500, 0.7172, 0.0583)  4 Rh 2.43-2.51
Rh (0.2500, 0.0546, 0.6285)  4 Ge 2.43-2.51
Tb (0.7500, 0.3333, 0.6667)  9 Rh 3.05-3.14, 3 Ge 3.37
Ge (0.2500, 0.6589, 0.7172)  4 Rh 2.43-2.51
Rh (0.7500, 0.4262, 0.0546)  4 Ge 2.43-2.51
Rh (0.7500, 0.9454, 0.3715)  4 Ge 2.43-2.51
Ge (0.2500, 0.2828, 0.9417)  4 Rh 2.43-2.51
Rh (0.2500, 0.3715, 0.4262)  4 Ge 2.43-2.51
Ge (0.7500, 0.9417, 0.6589)  4 Rh 2.43-2.51
Rh (0.2500, 0.5738, 0.9454)  4 Ge 2.43-2.51
Ge (0.2500, 0.0583, 0.3411)  4 Rh 2.43-2.51
Ge (0.7500, 0.3411, 0.2828)  4 Rh 2.43-2.51

## Properties
E_form: -0.5741 eV per atom
Size of the total moment: 0.00 Bohr magnetons per cell
DOS(E_F): 7.07 states/eV/cell
Electronic total energy: -6.365 eV/atom
Excess energy over the best structure of this formula in the dataset: 77 meV per atom

=====

(4)
## TbGe4Rh5 (GGA-PBE)

Data for a relaxed TbGe4Rh5 crystal.

a b c (Å): 5.6829 7.0412 8.7273
angles (deg): 90.00 90.00 90.00
Last column: nearest neighbours and their distance in Å.
Positions (direct):
Ge (0.5395, 0.3095, 0.5000)  5 Rh 2.42-2.69, 1 Ge 2.68
Rh (0.2623, 0.7367, 0.2536)  4 Ge 2.42-2.69, 1 Rh 2.71
Ge (0.9895, 0.5000, 0.1596)  5 Rh 2.41-2.46
Tb (0.0231, 0.5000, 0.5000)  6 Ge 2.98-3.23, 8 Rh 3.04-3.31
Rh (0.7377, 0.2367, 0.2464)  4 Ge 2.42-2.69, 1 Rh 2.71
Rh (0.2623, 0.7367, 0.7464)  4 Ge 2.42-2.69, 1 Rh 2.71
Rh (0.7377, 0.7633, 0.7536)  4 Ge 2.42-2.69, 1 Rh 2.71
Ge (0.4605, 0.8095, 0.0000)  5 Rh 2.42-2.69, 1 Ge 2.68
Ge (0.9895, 0.5000, 0.8404)  5 Rh 2.41-2.46
Tb (0.9769, 0.0000, 0.0000)  6 Ge 2.98-3.23, 8 Rh 3.04-3.31
Ge (0.4605, 0.1905, 0.0000)  5 Rh 2.42-2.69, 1 Ge 2.68
Rh (0.2623, 0.2633, 0.2536)  4 Ge 2.42-2.69, 1 Rh 2.71
Ge (0.0105, 0.0000, 0.6596)  5 Rh 2.41-2.46
Rh (0.3558, 0.0000, 0.5000)  4 Ge 2.41-2.42
Rh (0.7377, 0.7633, 0.2464)  4 Ge 2.42-2.69, 1 Rh 2.71
Rh (0.7377, 0.2367, 0.7536)  4 Ge 2.42-2.69, 1 Rh 2.71
Rh (0.2623, 0.2633, 0.7464)  4 Ge 2.42-2.69, 1 Rh 2.71
Rh (0.6442, 0.5000, 0.0000)  4 Ge 2.41-2.42
Ge (0.5395, 0.6905, 0.5000)  5 Rh 2.42-2.69, 1 Ge 2.68
Ge (0.0105, 0.0000, 0.3404)  5 Rh 2.41-2.46

## Properties
E_form: -0.5223 eV per atom
Size of the total moment: 0.00 Bohr magnetons per cell
DOS(E_F): 8.04 states/eV/cell
Electronic total energy: -6.508 eV/atom

=====

(5)
## TbTcGe2Rh (GGA-PBE)

Data for a relaxed TbTcGe2Rh crystal.

a b c (Å): 4.2835 4.2835 5.8242
angles (deg): 111.58 111.58 90.00
Last column: nearest neighbours and their distance in Å.
Positions (direct):
Tb (0.0000, 0.0000, 0.0000)  4 Rh 3.28, 4 Tc 3.28, 8 Ge 3.29
Rh (0.7500, 0.2500, 0.5000)  4 Ge 2.46
Ge (0.3713, 0.3713, 0.7425)  2 Rh 2.46, 2 Tc 2.46, 1 Ge 2.56
Ge (0.6287, 0.6287, 0.2575)  2 Tc 2.46, 2 Rh 2.46, 1 Ge 2.56
Tc (0.2500, 0.7500, 0.5000)  4 Ge 2.46

## Properties
E_form: -0.6780 eV per atom
Size of the total moment: 0.00 Bohr magnetons per cell
DOS(E_F): 2.97 states/eV/cell
Electronic total energy: -6.994 eV/atom

=====

(6)
## Tb6GeTe3Rh2 (GGA-PBE)

Data for a relaxed Tb6GeTe3Rh2 crystal.

a b c (Å): 7.2191 7.2191 7.6557
angles (deg): 99.13 99.13 120.04
Last column: nearest neighbours and their distance in Å.
Positions (direct):
Tb (0.9298, 0.5871, 0.7862)  2 Rh 2.83-2.85, 1 Ge 2.92, 1 Te 3.15
Rh (0.6667, 0.3333, 0.0000)  6 Tb 2.83-2.85
Tb (0.4129, 0.0702, 0.2138)  2 Rh 2.83-2.85, 1 Ge 2.92, 1 Te 3.15
Te (0.1640, 0.8360, 0.5000)  6 Tb 3.15-3.20
Rh (0.3333, 0.6667, 0.0000)  6 Tb 2.83-2.85
Ge (0.0000, 0.0000, 0.0000)  6 Tb 2.91-2.92
Te (0.5000, 0.5000, 0.5000)  6 Tb 3.15-3.21
Tb (0.0702, 0.4129, 0.2138)  2 Rh 2.83-2.85, 1 Ge 2.92, 1 Te 3.15
Tb (0.7296, 0.7296, 0.2127)  2 Rh 2.83, 1 Ge 2.91, 1 Te 3.15
Tb (0.2704, 0.2704, 0.7873)  2 Rh 2.83, 1 Ge 2.91, 1 Te 3.15
Tb (0.5871, 0.9298, 0.7862)  2 Rh 2.83-2.85, 1 Ge 2.92, 1 Te 3.15
Te (0.8360, 0.1640, 0.5000)  6 Tb 3.15-3.20

## Properties
Uncorrected formation energy: -1059 meV per atom
Size of the total moment: 0.00 Bohr magnetons per cell
DOS(E_F): 6.86 states/eV/cell
Electronic total energy: -5.769 eV/atom

=====

(7)
## TbTh2Ge2Rh7 (GGA-PBE)

Data for a relaxed TbTh2Ge2Rh7 crystal.

a b c (Å): 4.1429 4.1429 13.0541
angles (deg): 85.08 85.08 88.99
Last column: nearest neighbours and their distance in Å.
Positions (direct):
Rh (0.6716, 0.6716, 0.5562)  1 Ge 2.44, 1 Rh 2.64
Rh (0.9593, 0.4588, 0.1596)  2 Ge 2.42-2.43
Rh (0.5412, 0.0407, 0.8404)  2 Ge 2.42-2.43
Ge (0.4347, 0.4347, 0.2573)  5 Rh 2.42-2.44
Rh (0.0407, 0.5412, 0.8404)  2 Ge 2.42-2.43
Tb (0.0000, 0.0000, 0.0000)  12 Rh 2.90-2.96
Th (0.0816, 0.0816, 0.6524)  6 Rh 2.86-3.18, 3 Ge 3.13-3.14
Rh (0.5000, 0.5000, 0.0000)  4 Tb 2.90-2.96, 8 Rh 2.92-2.93
Rh (0.3284, 0.3284, 0.4438)  1 Ge 2.44, 1 Rh 2.64
Ge (0.5653, 0.5653, 0.7427)  5 Rh 2.42-2.44
Rh (0.4588, 0.9593, 0.1596)  2 Ge 2.42-2.43
Th (0.9184, 0.9184, 0.3476)  6 Rh 2.86-3.18, 3 Ge 3.13-3.14

## Properties
E_form: -0.7511 eV per atom
Size of the total moment: 0.00 Bohr magnetons per cell
DOS(E_F): 6.99 states/eV/cell
Electronic total energy: -7.432 eV/atom

=====

(8)
## TbTh2Ge3Rh4 (GGA-PBE)

Data for a relaxed TbTh2Ge3Rh4 crystal.

a b c (Å): 4.1589 4.1589 11.4564
angles (deg): 90.00 90.00 90.00
Last column: nearest neighbours and their distance in Å.
Positions (direct):
Ge (0.0000, 0.5000, 0.1202)  5 Rh 2.45-2.49
Rh (0.0000, 0.0000, 0.0000)  4 Ge 2.49
Ge (0.5000, 0.0000, 0.8798)  5 Rh 2.45-2.49
Rh (0.5000, 0.0000, 0.6658)  1 Ge 2.45
Th (0.5000, 0.0000, 0.2293)  8 Rh 3.18-3.35, 4 Ge 3.20
Rh (0.5000, 0.5000, 0.0000)  4 Ge 2.49
Ge (0.0000, 0.0000, 0.5000)  4 Rh 2.82, 4 Tb 2.94
Tb (0.5000, 0.5000, 0.5000)  4 Rh 2.82, 4 Ge 2.94
Rh (0.0000, 0.5000, 0.3342)  1 Ge 2.45
Th (0.0000, 0.5000, 0.7707)  8 Rh 3.18-3.35, 4 Ge 3.20

## Properties
E_form: -0.8848 eV per atom
Size of the total moment: 0.00 Bohr magnetons per cell
DOS(E_F): 6.33 states/eV/cell
Electronic total energy: -7.158 eV/atom

=====

(9)
## Tb2TiGe3Rh4 (GGA-PBE)

Data for a relaxed Tb2TiGe3Rh4 crystal.

a b c (Å): 4.0938 4.0938 10.7487
angles (deg): 90.00 90.00 90.00
Last column: nearest neighbours and their distance in Å.
Positions (direct):
Ge (0.0000, 0.5000, 0.1294)  5 Rh 2.46-2.47
Ge (0.0000, 0.0000, 0.5000)  4 Rh 2.55
Rh (0.0000, 0.0000, 0.0000)  4 Ge 2.47
Ge (0.5000, 0.0000, 0.8706)  5 Rh 2.46-2.47
Tb (0.0000, 0.5000, 0.7599)  6 Ge 3.13-3.46, 8 Rh 3.16-3.29, 2 Ti 3.46
Tb (0.5000, 0.0000, 0.2401)  6 Ge 3.13-3.46, 8 Rh 3.16-3.29, 2 Ti 3.46
Ti (0.5000, 0.5000, 0.5000)  4 Rh 2.55
Rh (0.5000, 0.5000, 0.0000)  4 Ge 2.47
Rh (0.5000, 0.0000, 0.6419)  3 Ge 2.46-2.55, 2 Ti 2.55
Rh (0.0000, 0.5000, 0.3581)  3 Ge 2.46-2.55, 2 Ti 2.55

## Properties
E_form: -0.8900 eV per atom
Size of the total moment: 0.00 Bohr magnetons per cell
DOS(E_F): 5.93 states/eV/cell
Electronic total energy: -6.931 eV/atom

=====

(10)
## Tb2TlGe2Rh5 (GGA-PBE)

Data for a relaxed Tb2TlGe2Rh5 crystal.

a b c (Å): 3.6427 9.8830 9.8830
angles (deg): 90.00 90.00 90.00
Last column: nearest neighbours and their distance in Å.
Positions (direct):
Tb (0.0000, 0.3250, 0.8250)  3 Ge 2.83-2.99, 6 Rh 3.05-3.14
Rh (0.5000, 0.5000, 0.0000)  4 Ge 2.50
Rh (0.5000, 0.7146, 0.4310)  2 Ge 2.49
Rh (0.5000, 0.0000, 0.5000)  4 Ge 2.50
Rh (0.5000, 0.9310, 0.2146)  2 Ge 2.49
Ge (0.0000, 0.8775, 0.3775)  6 Rh 2.49-2.50
Rh (0.5000, 0.5690, 0.7146)  2 Ge 2.49
Tb (0.0000, 0.1750, 0.3250)  3 Ge 2.83-2.99, 6 Rh 3.05-3.14
Tb (0.0000, 0.6750, 0.1750)  3 Ge 2.83-2.99, 6 Rh 3.05-3.14
Ge (0.0000, 0.1225, 0.6225)  6 Rh 2.49-2.50
Rh (0.5000, 0.4310, 0.2854)  2 Ge 2.49
Ge (0.0000, 0.6225, 0.8775)  6 Rh 2.49-2.50
Tl (0.0000, 0.5000, 0.5000)  8 Rh 2.88
Ge (0.0000, 0.3775, 0.1225)  6 Rh 2.49-2.50
Rh (0.5000, 0.2854, 0.5690)  2 Ge 2.49
Rh (0.5000, 0.2146, 0.0690)  2 Ge 2.49
Rh (0.5000, 0.7854, 0.9310)  2 Ge 2.49
Tl (0.0000, 0.0000, 0.0000)  8 Rh 2.88
Rh (0.5000, 0.0690, 0.7854)  2 Ge 2.49
Tb (0.0000, 0.8250, 0.6750)  3 Ge 2.83-2.99, 6 Rh 3.05-3.14

## Properties
E_form: -0.7222 eV per atom
Size of the total moment: 0.00 Bohr magnetons per cell
DOS(E_F): 8.52 states/eV/cell
Electronic total energy: -6.484 eV/atom

=====

- size of the total moment of number 10 (Tb2TlGe2Rh5)?
  0.00 Bohr magnetons per cell